The following is a PBE calculation of crystalline AlPbS2Cl at its relaxed geometry, from Alexandria via LeMat-Bulk.

Cell and atoms, written as POSCAR:
```
AlPbS2Cl
1.0
4.889 0.000 0.000
0.000 4.889 0.000
0.000 0.000 4.797
Al Pb S Cl
1 1 2 1
direct
0.000 0.000 0.000
0.500 0.500 0.500
0.000 0.500 0.000
0.500 0.000 0.000
0.000 0.000 0.500
```

Output
Its volume is 22.928 Å³ per atom. Its uncorrected formation energy is -0.665 eV per atom. As for the offset from the most stable computed form: 0 meV/atom. The value obtained for the density is 4.83 g/cm³.